1.
! Nd2Pa2Ni15 (PBE, optimized geometry); values from VASP
&SYSTEM
  ibrav = 0, nat = 19, ntyp = 3
/
ATOMIC_SPECIES
Ni 58.69 Ni.upf
Pa 231.04 Pa.upf
Nd 144.24 Nd.upf
CELL_PARAMETERS angstrom
-2.732 -0.351 5.930
-0.119 -6.507 0.625
5.452 -0.731 3.534
ATOMIC_POSITIONS angstrom
Ni -0.467 -2.779 6.415
Ni -1.933 -2.234 4.308
Ni 1.585 -4.741 1.515
Ni -1.006 -4.621 4.867
Ni 2.950 -0.615 4.267
Ni 1.768 -1.745 6.316
Ni 2.726 -0.366 1.767
Ni -1.366 -0.176 2.965
Ni 3.749 -2.497 2.644
Ni 0.834 -5.844 3.773
Ni 3.607 -2.968 5.222
Ni 3.069 -4.810 3.674
Ni -0.229 -0.468 5.197
Ni -0.918 -4.625 2.247
Ni -0.059 -3.254 0.313
Pa 2.318 -6.762 8.988
Pa 0.284 -0.828 1.101
Nd 1.664 -4.856 6.455
Nd 0.937 -2.734 3.635
! Uncorrected energy = -120.36 eV/cell
! Magnetization = 0.0 Bohr magnetons per cell
! Space-group type = R-3m (166)

=====

2.
! Zr2P2SO12 (PBE, optimized geometry); values from VASP
&SYSTEM
  ibrav = 0, nat = 68, ntyp = 4
/
ATOMIC_SPECIES
O 16.00 O.upf
Zr 91.22 Zr.upf
P 30.97 P.upf
S 32.06 S.upf
CELL_PARAMETERS angstrom
-2.086 -8.671 -1.477
4.684 0.201 -7.793
10.431 -3.641 6.175
ATOMIC_POSITIONS angstrom
O 8.555 -11.243 1.159
O 4.346 -6.716 -2.715
O 5.014 -4.471 0.918
O 9.456 -7.019 -3.424
O 11.148 -4.883 3.182
O 7.073 -10.496 3.693
O 13.211 -6.467 -1.790
O 7.416 -6.114 0.719
O 7.451 -8.523 1.461
O 3.219 -1.491 -5.353
O 8.927 -4.272 2.506
O 3.304 -6.137 0.095
O 2.088 -1.000 -0.458
O 5.677 -7.721 -0.152
O 10.548 -5.343 -1.908
O 3.681 -1.747 -2.889
O 0.314 -3.387 -0.974
O 7.502 -3.079 0.251
O 6.292 -5.445 3.397
O 8.719 -4.611 -3.476
O -0.443 -7.250 -2.471
O 10.324 -8.813 1.760
O 4.502 -7.768 -7.864
O 1.816 -7.964 -1.618
O 11.484 -7.005 0.482
O 12.718 -3.486 -1.328
O 3.196 -3.742 -0.628
O 8.221 -9.382 -4.839
O 4.403 -9.555 -1.976
O 7.113 -2.615 -2.189
O 8.858 -8.204 4.216
O 8.075 -7.893 -0.908
O 5.807 -5.025 -3.561
O 7.331 -4.150 -6.028
O 4.926 -6.689 -5.076
O 5.493 -2.272 -4.574
O 1.823 -3.930 -3.356
O 12.123 -10.501 -1.619
O 10.740 -4.195 0.887
O 6.255 -2.584 2.834
O 6.841 -10.050 -2.412
O 3.923 -4.930 -7.524
O 9.889 -9.789 -2.471
O 6.580 -7.325 -3.456
O 2.682 -8.564 -5.643
O 3.196 -9.143 0.634
O 8.579 -1.881 -4.611
O 2.239 -5.551 -5.233
Zr 7.148 -3.422 -4.078
Zr 8.692 -9.691 2.645
Zr 8.285 -8.613 -2.805
Zr 12.029 -5.267 -0.491
Zr 3.257 -6.813 -6.503
Zr 2.122 -2.543 -1.842
Zr 6.887 -4.411 1.696
Zr 3.760 -7.868 -0.972
P 4.291 -1.362 -4.260
P 1.260 -4.504 -4.670
P 9.926 -5.555 -3.308
P 3.530 -4.688 0.551
P 11.108 -10.697 -2.765
P 0.293 -8.214 -1.519
P 7.143 -7.575 0.287
P 7.514 -1.990 -0.838
S 9.458 -7.687 5.471
S 7.870 -10.001 -6.127
S 5.425 -6.453 -3.704
S 10.367 -3.995 2.312
! Uncorrected energy = -534.96 eV/cell
! ΔE_f (raw) = -239.5 kJ/mol of atoms
! Magnetization = 0.0 Bohr magnetons per cell
! Space-group type = Pc (7)

=====

3.
! TmCo6B6 (PBE, optimized geometry); values from VASP
&SYSTEM
  ibrav = 0, nat = 13, ntyp = 3
/
ATOMIC_SPECIES
Tm 168.93 Tm.upf
B 10.81 B.upf
Co 58.93 Co.upf
CELL_PARAMETERS angstrom
4.269 0.000 0.000
2.134 5.160 -0.013
2.134 0.110 5.159
ATOMIC_POSITIONS angstrom
Tm 0.000 0.000 0.000
B 3.202 0.055 2.579
B 1.067 2.580 -0.007
B 3.202 2.580 -0.007
B 4.269 1.313 3.927
B 1.067 0.055 2.579
B 4.269 3.957 1.219
Co 2.134 3.440 1.748
Co 4.269 3.441 3.360
Co 6.403 4.230 4.130
Co 2.134 1.040 1.015
Co 2.134 1.830 3.397
Co 4.269 1.829 1.786
! Uncorrected energy = -88.16 eV/cell
! Magnetization = 0.2 Bohr magnetons per cell
! Space-group type = Immm (71)

=====

4.
! Hf2ThOsC4 (PBE, optimized geometry); values from VASP
&SYSTEM
  ibrav = 0, nat = 16, ntyp = 4
/
ATOMIC_SPECIES
Os 190.23 Os.upf
Hf 178.49 Hf.upf
C 12.01 C.upf
Th 232.04 Th.upf
CELL_PARAMETERS angstrom
-2.427 0.987 2.187
-2.373 -4.578 -3.230
3.882 -7.410 7.653
ATOMIC_POSITIONS angstrom
Os -0.734 -7.835 5.384
Os -0.183 -3.167 1.226
Hf -0.558 -7.034 2.556
Hf -0.360 -3.967 4.054
Hf 1.066 -10.134 5.757
Hf -1.984 -0.867 0.852
C 1.941 -3.705 3.826
C -1.440 -3.016 -0.237
C -0.401 -4.998 1.810
C -0.175 -9.073 3.901
C 0.000 0.000 0.000
C -0.516 -6.004 4.800
C -0.743 -1.928 2.709
C 0.522 -7.986 6.847
Th -3.116 -4.631 1.295
Th 2.198 -6.370 5.314
! Uncorrected energy = -156.60 eV/cell
! Magnetization = 0.0 Bohr magnetons per cell
! Space-group type = Cmcm (63)

=====

5.
! BiRh6 (PBE, optimized geometry); values from VASP
&SYSTEM
  ibrav = 0, nat = 7, ntyp = 2
/
ATOMIC_SPECIES
Rh 102.91 Rh.upf
Bi 208.98 Bi.upf
CELL_PARAMETERS angstrom
5.850 0.000 0.000
-1.950 5.515 0.000
-1.950 -2.758 4.776
ATOMIC_POSITIONS angstrom
Rh 0.975 3.447 1.194
Rh 2.925 0.000 2.388
Rh -0.975 0.689 3.582
Rh 0.975 -0.689 3.582
Rh -0.975 2.758 2.388
Rh 2.925 2.068 1.194
Bi 0.000 0.000 0.000
! Uncorrected energy = -42.04 eV/cell
! Magnetization = 0.0 Bohr magnetons per cell
! Space-group type = Im-3m (229)

=====

6.
! BePtO2 (PBE, optimized geometry); values from VASP
&SYSTEM
  ibrav = 0, nat = 4, ntyp = 3
/
ATOMIC_SPECIES
O 16.00 O.upf
Be 9.01 Be.upf
Pt 195.08 Pt.upf
CELL_PARAMETERS angstrom
2.097 0.000 4.371
-1.049 1.816 4.371
-1.049 -1.816 4.371
ATOMIC_POSITIONS angstrom
O 0.000 0.000 11.648
O 0.000 0.000 1.464
Be 0.000 0.000 0.000
Pt 0.000 0.000 6.556
! Uncorrected energy = -22.43 eV/cell
! ΔE_f (raw) = -66.1 kJ/mol of atoms
! Magnetization = 0.0 Bohr magnetons per cell
! Space-group type = R-3m (166)

=====

7.
! PmPr2SmAs4 (PBE, optimized geometry); values from VASP
&SYSTEM
  ibrav = 0, nat = 8, ntyp = 4
/
ATOMIC_SPECIES
As 74.92 As.upf
Pm 145.00 Pm.upf
Pr 140.91 Pr.upf
Sm 150.36 Sm.upf
CELL_PARAMETERS angstrom
-3.064 2.707 -1.233
-5.145 -4.730 2.399
-1.568 1.449 7.075
ATOMIC_POSITIONS angstrom
As -4.016 1.235 5.294
As -5.012 -2.434 7.110
As -5.760 -1.809 2.947
As -4.764 1.859 1.131
Pm -3.356 -1.641 4.737
Pr -2.316 2.078 2.921
Pr -1.568 1.449 7.075
Sm -4.104 -1.012 0.583
! Uncorrected energy = -49.73 eV/cell
! Magnetization = 0.0 Bohr magnetons per cell
! Space-group type = P2/m (10)

=====

Please write out number 3 again, unchanged.
! TmCo6B6 (PBE, optimized geometry); values from VASP
&SYSTEM
  ibrav = 0, nat = 13, ntyp = 3
/
ATOMIC_SPECIES
Tm 168.93 Tm.upf
B 10.81 B.upf
Co 58.93 Co.upf
CELL_PARAMETERS angstrom
4.269 0.000 0.000
2.134 5.160 -0.013
2.134 0.110 5.159
ATOMIC_POSITIONS angstrom
Tm 0.000 0.000 0.000
B 3.202 0.055 2.579
B 1.067 2.580 -0.007
B 3.202 2.580 -0.007
B 4.269 1.313 3.927
B 1.067 0.055 2.579
B 4.269 3.957 1.219
Co 2.134 3.440 1.748
Co 4.269 3.441 3.360
Co 6.403 4.230 4.130
Co 2.134 1.040 1.015
Co 2.134 1.830 3.397
Co 4.269 1.829 1.786
! Uncorrected energy = -88.16 eV/cell
! Magnetization = 0.2 Bohr magnetons per cell
! Space-group type = Immm (71)

=====

Question: What is the formula in the seventh record?
Answer: PmPr2SmAs4

=====

Question: What is the uncorrected energy in the sixth record?
Answer: -22.43 eV/cell

=====

Question: Among the records above, which one has the lowest uncorrected energy?
Answer: Zr2P2SO12